[1]
## Cr2TcAg (PBEsol)

Data for a relaxed Cr2TcAg crystal.

The value obtained for the volume is 106 Å³/cell. The calculation puts the formation energy at 1.87 eV/f.u. The calculation puts the total magnetization at 0.00 μB/atom.

It has space group Cm (No. 8), with a = 9.252 Å, b = 2.784 Å, c = 4.426 Å, α = 90.00°, β = 111.23° and γ = 90.00°. The asymmetric unit holds Cr at (0.000, 0.000, 0.000), Cr at (0.194, 0.500, 0.254), Tc at (0.451, 0.000, 0.456) and Ag at (0.234, 0.000, 0.785).

=====

[2]
## Cr2TcAg (PBEsol)

Data for a relaxed Cr2TcAg crystal.

The value obtained for the volume is 54 Å³/cell. The calculation puts the formation energy at 1.70 eV/f.u. The calculation puts the total magnetization at 0.00 μB/atom.

It has space group P4mm (No. 99), with a = 3.056 Å, b = 3.056 Å, c = 5.801 Å, α = 90.00°, β = 90.00° and γ = 90.00°. The asymmetric unit holds Cr at (0.000, 0.000, 0.000), Cr at (0.500, 0.500, 0.189), Tc at (0.000, 0.000, 0.400) and Ag at (0.500, 0.500, 0.711).

=====

[3]
## Cr2TcAg (PBEsol)

Data for a relaxed Cr2TcAg crystal.

The value obtained for the volume is 107 Å³/cell. The calculation puts the formation energy at 2.31 eV/f.u. The calculation puts the total magnetization at 0.00 μB/atom.

It has space group C2/m (No. 12), with a = 8.706 Å, b = 2.634 Å, c = 4.711 Å, α = 90.00°, β = 99.27° and γ = 90.00°. The asymmetric unit holds Cr at (0.247, 0.000, 0.231), Tc at (0.000, 0.500, 0.000) and Ag at (0.000, 0.000, 0.500).

=====

[4]
## Cr3TcAg (PBEsol)

Data for a relaxed Cr3TcAg crystal.

The value obtained for the volume is 94 Å³/cell. The calculation puts the formation energy at 7.31 eV/f.u. The calculation puts the total magnetization at 1.69 μB/atom.

It has space group Pm-3m (No. 221), with a = 4.539 Å, b = 4.539 Å, c = 4.539 Å, α = 90.00°, β = 90.00° and γ = 90.00°. The asymmetric unit holds Cr at (0.000, 0.000, 0.500), Tc at (0.000, 0.000, 0.000) and Ag at (0.500, 0.500, 0.500).

=====

[5]
## CrAgTe3 (PBEsol)

Data for a relaxed CrAgTe3 crystal.

The value obtained for the volume is 135 Å³/cell. As for the formation energy without anion corrections: 0.53 eV/atom. The calculation puts the total magnetization at 0.42 μB/atom.

It has space group Pm-3m (No. 221), with a = 5.132 Å, b = 5.132 Å, c = 5.132 Å, α = 90.00°, β = 90.00° and γ = 90.00°. The asymmetric unit holds Cr at (0.000, 0.000, 0.000), Ag at (0.500, 0.500, 0.500) and Te at (0.000, 0.000, 0.500).

=====

[6]
## Cr2AgTe (PBEsol)

Data for a relaxed Cr2AgTe crystal.

The value obtained for the volume is 187 Å³/cell. As for the formation energy without anion corrections: 0.86 eV/atom. The calculation puts the total magnetization at 0.00 μB/atom.

It has space group R-3m (No. 166, hexagonal axes), with a = 2.9595 Å, b = 2.9595 Å, c = 24.7154 Å, α = 90.00°, β = 90.00° and γ = 120.00°. The asymmetric unit holds Cr at (0.0000, 0.0000, 0.2465), Ag at (0.0000, 0.0000, 0.0000) and Te at (0.0000, 0.0000, 0.5000).

=====

[7]
## Cr2AgTe4 (PBEsol)

Data for a relaxed Cr2AgTe4 crystal.

The value obtained for the volume is 1432 Å³/cell. As for the formation energy without anion corrections: -0.13 eV/atom. The calculation puts the total magnetization at 0.78 μB/atom.

It has space group Fd-3m (No. 227, origin choice 2), with a = 11.271 Å, b = 11.271 Å, c = 11.271 Å, α = 90.00°, β = 90.00° and γ = 90.00°. The asymmetric unit holds Cr at (0.000, 0.000, 0.000), Ag at (0.125, 0.125, 0.625) and Te at (0.012, 0.012, 0.238).

=====

[8]
## Tl2CrAg (PBEsol)

Data for a relaxed Tl2CrAg crystal.

The value obtained for the volume is 247 Å³/cell. The calculation puts the formation energy at 2.00 eV/f.u. The calculation puts the offset from the most stable computed form at 51 meV/atom. The calculation puts the total magnetization at 0.98 μB/atom.

It has space group R-3m (No. 166, hexagonal axes), with a = 3.2500 Å, b = 3.2500 Å, c = 27.0319 Å, α = 90.00°, β = 90.00° and γ = 120.00°. The asymmetric unit holds Tl at (0.0000, 0.0000, 0.2484), Cr at (0.0000, 0.0000, 0.5000) and Ag at (0.0000, 0.0000, 0.0000).

=====

[9]
## Tl2CrAg (PBEsol)

Data for a relaxed Tl2CrAg crystal.

The value obtained for the volume is 167 Å³/cell. The calculation puts the formation energy at 1.80 eV/f.u. The calculation puts the offset from the most stable computed form at 0 meV/atom. The calculation puts the total magnetization at 0.91 μB/atom.

It has space group Imm2 (No. 44), with a = 3.183 Å, b = 4.682 Å, c = 11.191 Å, α = 90.00°, β = 90.00° and γ = 90.00°. The asymmetric unit holds Tl at (0.000, 0.000, 0.000), Tl at (0.000, 0.500, 0.223), Cr at (0.000, 0.000, 0.504) and Ag at (0.000, 0.500, 0.800).

=====

[10]
## Tl2CrAg (PBEsol)

Data for a relaxed Tl2CrAg crystal.

The value obtained for the volume is 80 Å³/cell. The calculation puts the formation energy at 1.86 eV/f.u. The calculation puts the offset from the most stable computed form at 16 meV/atom. The calculation puts the total magnetization at 0.98 μB/atom.

It has space group Pmmm (No. 47), with a = 3.349 Å, b = 3.363 Å, c = 7.143 Å, α = 90.00°, β = 90.00° and γ = 90.00°. The asymmetric unit holds Tl at (0.000, 0.000, 0.244), Cr at (0.500, 0.500, 0.000) and Ag at (0.500, 0.500, 0.500).

=====

[11]
## Tl2CrAg (PBEsol)

Data for a relaxed Tl2CrAg crystal.

The value obtained for the volume is 160 Å³/cell. The calculation puts the formation energy at 1.81 eV/f.u. The calculation puts the offset from the most stable computed form at 3 meV/atom. The calculation puts the total magnetization at 0.98 μB/atom.

It has space group I4/mmm (No. 139), with a = 4.844 Å, b = 4.844 Å, c = 6.828 Å, α = 90.00°, β = 90.00° and γ = 90.00°. The asymmetric unit holds Tl at (0.000, 0.500, 0.250), Cr at (0.000, 0.000, 0.000) and Ag at (0.000, 0.000, 0.500).

=====

[12]
## Cr2AgW (PBEsol)

Data for a relaxed Cr2AgW crystal.

The value obtained for the volume is 57 Å³/cell. The calculation puts the formation energy at 1.92 eV/f.u. The calculation puts the offset from the most stable computed form at 0 meV/atom. The calculation puts the total magnetization at 0.73 μB/atom.

It has space group P4/mmm (No. 123), with a = 3.060 Å, b = 3.060 Å, c = 6.061 Å, α = 90.00°, β = 90.00° and γ = 90.00°. The asymmetric unit holds Cr at (0.000, 0.000, 0.224), Ag at (0.500, 0.500, 0.500) and W at (0.500, 0.500, 0.000).

=====

Please write out number 4 again, unchanged.
## Cr3TcAg (PBEsol)

Data for a relaxed Cr3TcAg crystal.

The value obtained for the volume is 94 Å³/cell. The calculation puts the formation energy at 7.31 eV/f.u. The calculation puts the total magnetization at 1.69 μB/atom.

It has space group Pm-3m (No. 221), with a = 4.539 Å, b = 4.539 Å, c = 4.539 Å, α = 90.00°, β = 90.00° and γ = 90.00°. The asymmetric unit holds Cr at (0.000, 0.000, 0.500), Tc at (0.000, 0.000, 0.000) and Ag at (0.500, 0.500, 0.500).